DFT (PBEsol) results for a relaxed structure of GaHgB2Pt.

## Properties
The space group is P4/mmm, No. 123. Its formation enthalpy at 0 K is 0.643 eV per atom. Its total DFT energy (no corrections) is -21.7 eV per formula unit. Its crystal system is tetragonal.

Cell lengths 4.024, 4.024, 5.609 Å; angles 90.00, 90.00, 90.00 degrees
Positions (direct):
Ga: 0.500 0.500 0.500
B: 0.000 0.500 0.000
B: 0.500 0.000 0.000
Hg: 0.000 0.000 0.500
Pt: 0.000 0.000 0.000

DFT (PBEsol) results for a relaxed structure of GaHgBRu2.

## Properties
The space group is P4/mmm, No. 123. Its formation enthalpy at 0 K is 0.417 eV per atom. Its total DFT energy (no corrections) is -29.2 eV per formula unit. Its crystal system is tetragonal.

Cell lengths 4.126, 4.126, 4.234 Å; angles 90.00, 90.00, 90.00 degrees
Positions (direct):
Ru: 0.000 0.500 0.000
Ru: 0.500 0.000 0.000
B: 0.000 0.000 0.000
Hg: 0.000 0.000 0.500
Ga: 0.500 0.500 0.500

DFT (PBEsol) results for a relaxed structure of Ga2BI.

## Properties
The space group is Fm-3m, No. 225. The uncorrected formation energy is 1136 meV/atom. Its total DFT energy (no corrections) is -10.9 eV per formula unit. Its crystal system is cubic.

Cell lengths 4.848, 4.848, 4.848 Å; angles 60.00, 60.00, 60.00 degrees
Positions (direct):
I: 0.500 0.500 0.500
B: 0.000 0.000 0.000
Ga: 0.250 0.250 0.250
Ga: 0.750 0.750 0.750

DFT (PBEsol) results for a relaxed structure of GaBTe2I.

## Properties
The space group is P4/mmm, No. 123. The uncorrected formation energy is 1201 meV/atom. Its total DFT energy (no corrections) is -13.2 eV per formula unit. Its crystal system is tetragonal.

Cell lengths 5.297, 5.297, 5.481 Å; angles 90.00, 90.00, 90.00 degrees
Positions (direct):
I: 0.000 0.000 0.500
B: 0.500 0.500 0.500
Te: 0.000 0.500 0.000
Te: 0.500 0.000 0.000
Ga: 0.000 0.000 0.000